Entry 1:
## LiErZrIr (PBE-GGA)

Data for LiErZrIr after structural relaxation.

a = 4.771 Å, b = 4.771 Å, c = 4.771 Å
α = 60.00°, β = 60.00°, γ = 60.00°
Atoms (fractional coordinates):
Li 0.000 0.000 0.000
Er 0.750 0.750 0.750
Zr 0.250 0.250 0.250
Ir 0.500 0.500 0.500

**Density of states at the Fermi level**: 3.62 states/eV/f.u.
**Volume**: 76.8 Å³/f.u.
**ΔH_f (0 K)**: -509 meV per atom

Entry 2:
## SrLi2PBr (PBE-GGA)

Data for SrLi2PBr after structural relaxation.

a = 4.674 Å, b = 4.674 Å, c = 5.972 Å
α = 90.00°, β = 90.00°, γ = 90.00°
Atoms (fractional coordinates):
Sr 0.000 0.000 0.000
Li 0.000 0.500 0.500
Li 0.500 0.000 0.500
P 0.000 0.000 0.500
Br 0.500 0.500 0.000

**Volume**: 130.5 Å³/f.u.
**Raw formation energy**: -1.070 eV/atom

Entry 3:
## Sr2AgPbSe (PBE-GGA)

Data for Sr2AgPbSe after structural relaxation.

a = 5.826 Å, b = 5.826 Å, c = 5.751 Å
α = 90.00°, β = 90.00°, γ = 90.00°
Atoms (fractional coordinates):
Sr 0.000 0.500 0.000
Sr 0.500 0.000 0.000
Ag 0.000 0.000 0.500
Pb 0.500 0.500 0.500
Se 0.500 0.500 0.000

**Density of states at the Fermi level**: 2.79 states/eV/f.u.
**Volume**: 195.2 Å³/f.u.
**Raw formation energy**: -0.398 eV/atom

Entry 4:
## LaPuPdRu (PBE-GGA)

Data for LaPuPdRu after structural relaxation.

a = 4.992 Å, b = 4.992 Å, c = 4.992 Å
α = 60.00°, β = 60.00°, γ = 60.00°
Atoms (fractional coordinates):
La 0.000 0.000 0.000
Pu 0.500 0.500 0.500
Pd 0.750 0.750 0.750
Ru 0.250 0.250 0.250

**Density of states at the Fermi level**: 10.47 states/eV/f.u.
**Volume**: 88.0 Å³/f.u.
**ΔH_f (0 K)**: -288 meV per atom

Entry 5:
## Pa4Tc2Sn (PBE-GGA)

Data for Pa4Tc2Sn after structural relaxation.

a = 7.563 Å, b = 7.563 Å, c = 7.563 Å
α = 107.14°, β = 107.14°, γ = 114.24°
Atoms (fractional coordinates):
Pa 0.002 0.760 0.097
Pa 0.087 0.490 0.741
Pa 0.096 0.998 0.759
Pa 0.240 0.337 0.241
Pa 0.510 0.252 0.597
Pa 0.654 0.913 0.403
Pa 0.663 0.904 0.903
Pa 0.748 0.346 0.259
Tc 0.027 0.125 0.402
Tc 0.375 0.973 0.098
Tc 0.723 0.625 0.598
Tc 0.875 0.277 0.902
Sn 0.250 0.750 0.500
Sn 0.500 0.500 0.000

**Density of states at the Fermi level**: 10.64 states/eV/f.u.
**Volume**: 165.6 Å³/f.u.
**ΔH_f (0 K)**: -81 meV per atom

Entry 6:
## Nd2Ho3PuS6 (PBE-GGA)

Data for Nd2Ho3PuS6 after structural relaxation.

a = 8.873 Å, b = 8.873 Å, c = 7.985 Å
α = 103.68°, β = 103.68°, γ = 25.56°
Atoms (fractional coordinates):
Nd 0.166 0.166 0.332
Nd 0.834 0.834 0.668
Ho 0.167 0.167 0.836
Ho 0.500 0.500 0.500
Ho 0.833 0.833 0.164
Pu 0.500 0.500 0.000
S 0.004 0.004 0.747
S 0.332 0.332 0.926
S 0.337 0.337 0.406
S 0.663 0.663 0.594
S 0.668 0.668 0.074
S 0.996 0.996 0.253

**Density of states at the Fermi level**: 8.07 states/eV/f.u.
**Volume**: 263.2 Å³/f.u.
**Raw formation energy**: -1.978 eV/atom

Q: Which formula does entry 5 have?
A: Pa4Tc2Sn

Q: Which value of volume does entry 1 give?
A: 76.8 Å³/f.u.